#i
Computed, not measured: Ag9Sb after structural relaxation at the PBE level of DFT.

a b c (Å): 2.9552 4.0417 40.9498
angles (deg): 90.00 90.00 90.00
With the nearest neighbours (Å) after each atom.
Atoms (fractional coordinates):
Ag  0.2500  0.2500  0.0178  12 Ag 2.90-2.96
Ag  0.2500  0.2500  0.0890  12 Ag 2.90-2.96
Ag  0.2500  0.2500  0.1605  12 Ag 2.90-2.96
Ag  0.2500  0.2500  0.2324  12 Ag 2.90-3.01
Ag  0.2500  0.2500  0.3058  7 Ag 2.93-3.01, 4 Sb 2.97
Ag  0.2500  0.2500  0.7313  11 Ag 2.91-2.96, 1 Sb 3.11
Ag  0.2500  0.2500  0.8035  12 Ag 2.90-2.96
Ag  0.2500  0.2500  0.8753  12 Ag 2.90-2.96
Ag  0.2500  0.2500  0.9466  12 Ag 2.90-2.96
Ag  0.7500  0.7500  0.0534  12 Ag 2.90-2.96
Ag  0.7500  0.7500  0.1247  12 Ag 2.90-2.96
Ag  0.7500  0.7500  0.1965  12 Ag 2.90-2.96
Ag  0.7500  0.7500  0.2687  11 Ag 2.91-2.96, 1 Sb 3.11
Ag  0.7500  0.7500  0.6942  7 Ag 2.93-3.01, 4 Sb 2.97
Ag  0.7500  0.7500  0.7676  12 Ag 2.90-3.01
Ag  0.7500  0.7500  0.8395  12 Ag 2.90-2.96
Ag  0.7500  0.7500  0.9110  12 Ag 2.90-2.96
Ag  0.7500  0.7500  0.9822  12 Ag 2.90-2.96
Sb  0.2500  0.2500  0.6553  2 Sb 2.96, 5 Ag 2.97-3.11
Sb  0.7500  0.7500  0.3447  2 Sb 2.96, 5 Ag 2.97-3.11

***

#ii
Computed, not measured: Ag9Sb after structural relaxation at the PBE level of DFT.

a b c (Å): 2.9582 2.9582 50.1247
angles (deg): 90.00 90.00 90.00
With the nearest neighbours (Å) after each atom.
Atoms (fractional coordinates):
Ag  0.2500  0.2500  0.0202  12 Ag 2.91-2.96
Ag  0.2500  0.2500  0.1006  12 Ag 2.90-2.96
Ag  0.2500  0.2500  0.1809  12 Ag 2.90-2.96
Ag  0.2500  0.2500  0.2616  12 Ag 2.91-2.96
Ag  0.2500  0.2500  0.3435  8 Ag 2.94-2.96, 4 Sb 3.14
Ag  0.2500  0.2500  0.6977  12 Ag 2.92-2.96
Ag  0.2500  0.2500  0.7788  12 Ag 2.91-2.96
Ag  0.2500  0.2500  0.8593  12 Ag 2.90-2.96
Ag  0.2500  0.2500  0.9396  12 Ag 2.90-2.96
Ag  0.7500  0.7500  0.0604  12 Ag 2.90-2.96
Ag  0.7500  0.7500  0.1407  12 Ag 2.90-2.96
Ag  0.7500  0.7500  0.2212  12 Ag 2.91-2.96
Ag  0.7500  0.7500  0.3023  12 Ag 2.92-2.96
Ag  0.7500  0.7500  0.6565  8 Ag 2.94-2.96, 4 Sb 3.14
Ag  0.7500  0.7500  0.7384  12 Ag 2.91-2.96
Ag  0.7500  0.7500  0.8191  12 Ag 2.90-2.96
Ag  0.7500  0.7500  0.8994  12 Ag 2.90-2.96
Ag  0.7500  0.7500  0.9798  12 Ag 2.91-2.96
Sb  0.2500  0.2500  0.6098  4 Sb 2.96, 4 Ag 3.14
Sb  0.7500  0.7500  0.3902  4 Sb 2.96, 4 Ag 3.14

***

Most stable to least stable, the ends of the list are #ii and #i.

***

#i
Computed, not measured: AgSbTe after structural relaxation at the PBE level of DFT.

a b c (Å): 6.8188 4.3214 12.0647
angles (deg): 90.00 90.00 90.00
With the nearest neighbours (Å) after each atom.
Atoms (fractional coordinates):
Ag  0.1114  0.2500  0.1243  2 Sb 2.79, 2 Te 2.82
Ag  0.3886  0.7500  0.6243  2 Sb 2.79, 2 Te 2.82
Ag  0.6114  0.2500  0.3757  2 Sb 2.79, 2 Te 2.82
Ag  0.8886  0.7500  0.8757  2 Sb 2.79, 2 Te 2.82
Sb  0.1460  0.2500  0.8654  2 Ag 2.79, 1 Te 2.86
Sb  0.3540  0.7500  0.3654  2 Ag 2.79, 1 Te 2.86
Sb  0.6460  0.2500  0.6346  2 Ag 2.79, 1 Te 2.86
Sb  0.8540  0.7500  0.1346  2 Ag 2.79, 1 Te 2.86
Te  0.1219  0.2500  0.6288  2 Ag 2.82, 1 Sb 2.86
Te  0.3781  0.7500  0.1288  2 Ag 2.82, 1 Sb 2.86
Te  0.6219  0.2500  0.8712  2 Ag 2.82, 1 Sb 2.86
Te  0.8781  0.7500  0.3712  2 Ag 2.82, 1 Sb 2.86

***

#ii
Computed, not measured: AgSbTe after structural relaxation at the PBE level of DFT.

a b c (Å): 4.2735 4.2735 10.2359
angles (deg): 90.00 90.00 120.00
With the nearest neighbours (Å) after each atom.
Atoms (fractional coordinates):
Ag  0.0000  0.0000  0.0000  3 Sb 2.87, 3 Te 2.94
Ag  0.0000  0.0000  0.5000  3 Sb 2.87, 3 Te 2.94
Sb  0.3333  0.6667  0.3565  3 Ag 2.87, 4 Te 3.06-3.21
Sb  0.6667  0.3333  0.8565  3 Ag 2.87, 4 Te 3.06-3.21
Te  0.3333  0.6667  0.6555  3 Ag 2.94, 4 Sb 3.06-3.21
Te  0.6667  0.3333  0.1555  3 Ag 2.94, 4 Sb 3.06-3.21

***

#iii
Computed, not measured: AgSbTe after structural relaxation at the PBE level of DFT.

a b c (Å): 8.6263 4.2806 9.5315
angles (deg): 90.00 90.00 90.00
With the nearest neighbours (Å) after each atom.
Atoms (fractional coordinates):
Ag  0.1707  0.2500  0.1252  2 Te 2.80, 2 Sb 2.90
Ag  0.3293  0.7500  0.6252  2 Te 2.80, 2 Sb 2.90
Ag  0.6707  0.2500  0.3748  2 Te 2.80, 2 Sb 2.90
Ag  0.8293  0.7500  0.8748  2 Te 2.80, 2 Sb 2.90
Sb  0.1240  0.2500  0.5384  1 Te 2.82, 2 Ag 2.90, 2 Sb 3.11
Sb  0.3760  0.7500  0.0384  1 Te 2.82, 2 Ag 2.90, 2 Sb 3.11
Sb  0.6240  0.2500  0.9616  1 Te 2.82, 2 Ag 2.90, 2 Sb 3.11
Sb  0.8760  0.7500  0.4616  1 Te 2.82, 2 Ag 2.90, 2 Sb 3.11
Te  0.0305  0.2500  0.8214  2 Ag 2.80, 1 Sb 2.82
Te  0.4695  0.7500  0.3214  2 Ag 2.80, 1 Sb 2.82
Te  0.5305  0.2500  0.6786  2 Ag 2.80, 1 Sb 2.82
Te  0.9695  0.7500  0.1786  2 Ag 2.80, 1 Sb 2.82

***

#iv
Computed, not measured: AgSbTe after structural relaxation at the PBE level of DFT.

a b c (Å): 5.4283 5.4283 6.1442
angles (deg): 90.00 90.00 120.00
With the nearest neighbours (Å) after each atom.
Atoms (fractional coordinates):
Ag  0.0000  0.0000  0.0000  2 Ag 3.07
Ag  0.0000  0.0000  0.5000  2 Ag 3.07
Sb  0.3333  0.6667  0.2500  5 Te 3.07-3.13
Sb  0.6667  0.3333  0.7500  5 Te 3.07-3.13
Te  0.3333  0.6667  0.7500  5 Sb 3.07-3.13
Te  0.6667  0.3333  0.2500  5 Sb 3.07-3.13

***

Most stable to least stable, the ends of the list are #iii and #iv.

***

#i
Computed, not measured: ScTcAg after structural relaxation at the PBE level of DFT.

a b c (Å): 5.2367 5.2367 5.2367
angles (deg): 142.64 142.64 53.86
With the nearest neighbours (Å) after each atom.
Atoms (fractional coordinates):
Sc  0.0000  0.0000  0.0000  4 Tc 2.77, 5 Ag 2.92-2.97
Tc  0.3473  0.3473  0.0000  4 Sc 2.77, 4 Ag 2.83
Ag  0.6816  0.6816  0.0000  5 Tc 2.83-3.12, 5 Sc 2.92-2.97

Output
Size of the total moment: 1.12 μB/cell

***

#ii
Computed, not measured: ScTcAg after structural relaxation at the PBE level of DFT.

a b c (Å): 3.2588 3.2588 9.7434
angles (deg): 90.00 90.00 90.00
With the nearest neighbours (Å) after each atom.
Atoms (fractional coordinates):
Sc  0.2500  0.2500  0.2427  5 Tc 2.85-3.06, 4 Ag 2.86
Sc  0.7500  0.7500  0.7573  5 Tc 2.85-3.06, 4 Ag 2.86
Tc  0.2500  0.2500  0.9287  4 Tc 2.69, 4 Sc 2.85
Tc  0.7500  0.7500  0.0713  4 Tc 2.69, 4 Sc 2.85
Ag  0.2500  0.2500  0.5829  4 Ag 2.81, 4 Sc 2.86
Ag  0.7500  0.7500  0.4171  4 Ag 2.81, 4 Sc 2.86

Output
Size of the total moment: 0.02 μB/cell

***

#iii
Computed, not measured: ScTcAg after structural relaxation at the PBE level of DFT.

a b c (Å): 3.4972 3.4972 8.7617
angles (deg): 90.00 90.00 90.00
With the nearest neighbours (Å) after each atom.
Atoms (fractional coordinates):
Sc  0.0000  0.0000  0.0000  8 Ag 2.89, 2 Tc 3.18
Sc  0.5000  0.5000  0.5000  8 Tc 2.75, 2 Ag 2.88
Tc  0.0000  0.0000  0.3625  1 Tc 2.41
Tc  0.0000  0.0000  0.6375  1 Tc 2.41
Ag  0.5000  0.5000  0.1717  5 Sc 2.88-2.89, 4 Tc 2.99, 1 Ag 3.01
Ag  0.5000  0.5000  0.8283  5 Sc 2.88-2.89, 4 Tc 2.99, 1 Ag 3.01

Output
Size of the total moment: 0.01 μB/cell

***

Most stable to least stable, the ends of the list are #ii and #i.

***

#i
Computed, not measured: Sc2TlAg after structural relaxation at the PBE level of DFT.

a b c (Å): 4.9663 4.9663 4.9663
angles (deg): 60.00 60.00 60.00
With the nearest neighbours (Å) after each atom.
Atoms (fractional coordinates):
Sc  0.2500  0.2500  0.2500  4 Tl 3.04, 4 Ag 3.04
Sc  0.7500  0.7500  0.7500  4 Tl 3.04, 4 Ag 3.04
Tl  0.0000  0.0000  0.0000  8 Sc 3.04
Ag  0.5000  0.5000  0.5000  8 Sc 3.04

Output
Size of the total moment: 0.00 μB/cell

***

#ii
Computed, not measured: Sc2TlAg after structural relaxation at the PBE level of DFT.

a b c (Å): 4.8892 4.8892 3.6231
angles (deg): 90.00 90.00 90.57
With the nearest neighbours (Å) after each atom.
Atoms (fractional coordinates):
Sc  0.0000  0.5000  0.0000  4 Tl 3.04, 4 Ag 3.04
Sc  0.5000  0.0000  0.0000  4 Tl 3.04, 4 Ag 3.04
Tl  0.0000  0.0000  0.5000  8 Sc 3.04
Ag  0.5000  0.5000  0.5000  8 Sc 3.04

Output
Size of the total moment: 0.10 μB/cell

***

Most stable to least stable, the ends of the list are #i and #ii.

***

#i
Computed, not measured: Sc2TlAg after structural relaxation at the PBE level of DFT.

a b c (Å): 4.7659 4.7659 9.7393
angles (deg): 90.00 90.00 120.00
With the nearest neighbours (Å) after each atom.
Atoms (fractional coordinates):
Sc  0.3333  0.6667  0.0923  3 Ag 2.89, 1 Sc 3.07, 3 Tl 3.15
Sc  0.3333  0.6667  0.4077  3 Ag 2.89, 1 Sc 3.07, 3 Tl 3.15
Sc  0.6667  0.3333  0.5923  3 Ag 2.89, 1 Sc 3.07, 3 Tl 3.15
Sc  0.6667  0.3333  0.9077  3 Ag 2.89, 1 Sc 3.07, 3 Tl 3.15
Tl  0.3333  0.6667  0.7500  8 Sc 3.15-3.33
Tl  0.6667  0.3333  0.2500  8 Sc 3.15-3.33
Ag  0.0000  0.0000  0.0000  6 Sc 2.89
Ag  0.0000  0.0000  0.5000  6 Sc 2.89

Output
Size of the total moment: 0.01 μB/cell

***

#ii
Computed, not measured: Sc2TlAg after structural relaxation at the PBE level of DFT.

a b c (Å): 4.7973 4.7973 9.2632
angles (deg): 90.00 90.00 120.00
With the nearest neighbours (Å) after each atom.
Atoms (fractional coordinates):
Sc  0.3333  0.6667  0.0911  4 Sc 2.94-3.24, 3 Tl 3.14, 4 Ag 3.14-3.16
Sc  0.3333  0.6667  0.4089  4 Sc 2.94-3.24, 3 Tl 3.14, 4 Ag 3.14-3.16
Sc  0.6667  0.3333  0.5911  4 Sc 2.94-3.24, 3 Tl 3.14, 4 Ag 3.14-3.16
Sc  0.6667  0.3333  0.9089  4 Sc 2.94-3.24, 3 Tl 3.14, 4 Ag 3.14-3.16
Tl  0.0000  0.0000  0.2500  3 Ag 2.77
Tl  0.0000  0.0000  0.7500  3 Ag 2.77
Ag  0.3333  0.6667  0.7500  3 Tl 2.77
Ag  0.6667  0.3333  0.2500  3 Tl 2.77

Output
Size of the total moment: 0.50 μB/cell

***

#iii
Computed, not measured: Sc2TlAg after structural relaxation at the PBE level of DFT.

a b c (Å): 3.4803 3.4803 7.1831
angles (deg): 90.00 90.00 90.00
With the nearest neighbours (Å) after each atom.
Atoms (fractional coordinates):
Sc  0.0000  0.0000  0.2330  4 Ag 2.98, 4 Tl 3.12
Sc  0.0000  0.0000  0.7670  4 Ag 2.98, 4 Tl 3.12
Tl  0.5000  0.5000  0.5000  8 Sc 3.12, 4 Tl 3.48
Ag  0.5000  0.5000  0.0000  8 Sc 2.98

Output
Size of the total moment: 0.08 μB/cell

***

#iv
Computed, not measured: Sc2TlAg after structural relaxation at the PBE level of DFT.

a b c (Å): 4.9067 4.9067 9.2856
angles (deg): 90.00 90.00 120.00
With the nearest neighbours (Å) after each atom.
Atoms (fractional coordinates):
Sc  0.3333  0.6667  0.0880  3 Tl 2.95, 4 Sc 3.01-3.27, 4 Ag 3.14-3.21
Sc  0.3333  0.6667  0.4120  3 Tl 2.95, 4 Sc 3.01-3.27, 4 Ag 3.14-3.21
Sc  0.6667  0.3333  0.5880  3 Tl 2.95, 4 Sc 3.01-3.27, 4 Ag 3.14-3.21
Sc  0.6667  0.3333  0.9120  3 Tl 2.95, 4 Sc 3.01-3.27, 4 Ag 3.14-3.21
Tl  0.0000  0.0000  0.0000  6 Sc 2.95
Tl  0.0000  0.0000  0.5000  6 Sc 2.95
Ag  0.3333  0.6667  0.7500  8 Sc 3.14-3.21
Ag  0.6667  0.3333  0.2500  8 Sc 3.14-3.21

Output
Size of the total moment: 1.90 μB/cell

***

Most stable to least stable, the ends of the list are #iii and #iv.

***

#i
Computed, not measured: TmScAg after structural relaxation at the PBE level of DFT.

a b c (Å): 4.7618 4.7618 4.7618
angles (deg): 60.00 60.00 60.00
With the nearest neighbours (Å) after each atom.
Atoms (fractional coordinates):
Tm  0.0000  0.0000  0.0000  4 Sc 2.92, 4 Ag 2.92
Sc  0.2500  0.2500  0.2500  4 Tm 2.92
Ag  0.7500  0.7500  0.7500  4 Tm 2.92

Output
Size of the total moment: 0.00 μB/cell

***

#ii
Computed, not measured: TmScAg after structural relaxation at the PBE level of DFT.

a b c (Å): 4.7244 4.7244 4.7244
angles (deg): 60.00 60.00 60.00
With the nearest neighbours (Å) after each atom.
Atoms (fractional coordinates):
Tm  0.0000  0.0000  0.0000  4 Sc 2.89
Sc  0.7500  0.7500  0.7500  4 Tm 2.89, 4 Ag 2.89
Ag  0.5000  0.5000  0.5000  4 Sc 2.89

Output
Size of the total moment: 0.00 μB/cell

***

Most stable to least stable, the ends of the list are #ii and #i.

***

#i
Computed, not measured: ScUAg after structural relaxation at the PBE level of DFT.

a b c (Å): 4.7888 4.7888 4.7888
angles (deg): 60.00 60.00 60.00
With the nearest neighbours (Å) after each atom.
Atoms (fractional coordinates):
Sc  0.0000  0.0000  0.0000  4 U 2.93
U  0.7500  0.7500  0.7500  4 Sc 2.93, 4 Ag 2.93
Ag  0.5000  0.5000  0.5000  4 U 2.93

Output
Size of the total moment: 3.29 μB/cell

***

#ii
Computed, not measured: ScUAg after structural relaxation at the PBE level of DFT.

a b c (Å): 4.6660 4.6660 4.6660
angles (deg): 60.00 60.00 60.00
With the nearest neighbours (Å) after each atom.
Atoms (fractional coordinates):
Sc  0.0000  0.0000  0.0000  4 Ag 2.86, 4 U 2.86
U  0.2500  0.2500  0.2500  4 Sc 2.86
Ag  0.7500  0.7500  0.7500  4 Sc 2.86

Output
Size of the total moment: 2.99 μB/cell

***

Most stable to least stable, the ends of the list are #ii and #i.

***

#i
Computed, not measured: TbAgSnSe3 after structural relaxation at the PBE level of DFT.

a b c (Å): 11.9357 4.2575 12.0114
angles (deg): 90.00 90.00 90.00
With the nearest neighbours (Å) after each atom.
Atoms (fractional coordinates):
Tb  0.0216  0.2500  0.1804  6 Se 2.85-3.04
Tb  0.4784  0.7500  0.6804  6 Se 2.85-3.04
Tb  0.5216  0.2500  0.3196  6 Se 2.85-3.04
Tb  0.9784  0.7500  0.8196  6 Se 2.85-3.04
Ag  0.2426  0.7500  0.3068  4 Se 2.57-2.71
Ag  0.2574  0.2500  0.8068  4 Se 2.57-2.71
Ag  0.7426  0.7500  0.1932  4 Se 2.57-2.71
Ag  0.7574  0.2500  0.6932  4 Se 2.57-2.71
Sn  0.1721  0.2500  0.5082  3 Se 2.87-2.97
Sn  0.3279  0.7500  0.0082  3 Se 2.87-2.97
Sn  0.6721  0.2500  0.9918  3 Se 2.87-2.97
Sn  0.8279  0.7500  0.4918  3 Se 2.87-2.97
Se  0.0274  0.7500  0.3580  1 Ag 2.64, 1 Sn 2.87
Se  0.0856  0.2500  0.9353  1 Ag 2.57, 2 Tb 2.85
Se  0.2348  0.7500  0.6686  2 Ag 2.71, 1 Tb 2.91, 2 Sn 2.97
Se  0.2652  0.2500  0.1686  2 Ag 2.71, 1 Tb 2.91, 2 Sn 2.97
Se  0.4144  0.7500  0.4353  1 Ag 2.57, 2 Tb 2.85
Se  0.4726  0.2500  0.8580  1 Ag 2.64, 1 Sn 2.87
Se  0.5274  0.7500  0.1420  1 Ag 2.64, 1 Sn 2.87
Se  0.5856  0.2500  0.5647  1 Ag 2.57, 2 Tb 2.85
Se  0.7348  0.7500  0.8314  2 Ag 2.71, 1 Tb 2.91, 2 Sn 2.97
Se  0.7652  0.2500  0.3314  2 Ag 2.71, 1 Tb 2.91, 2 Sn 2.97
Se  0.9144  0.7500  0.0647  1 Ag 2.57, 2 Tb 2.85
Se  0.9726  0.2500  0.6420  1 Ag 2.64, 1 Sn 2.87

Output
Size of the total moment: 0.02 μB/cell

***

#ii
Computed, not measured: TbAgSnSe3 after structural relaxation at the PBE level of DFT.

a b c (Å): 7.1358 7.1358 10.6538
angles (deg): 90.00 90.00 146.58
With the nearest neighbours (Å) after each atom.
Atoms (fractional coordinates):
Tb  0.0000  0.0000  0.0000  6 Se 2.92-2.97
Tb  0.0000  0.0000  0.5000  6 Se 2.92-2.97
Ag  0.4698  0.5302  0.7500  4 Se 2.61-2.68
Ag  0.5302  0.4698  0.2500  4 Se 2.61-2.68
Sn  0.2392  0.7608  0.2500  6 Se 3.05-3.19
Sn  0.7608  0.2392  0.7500  6 Se 3.05-3.19
Se  0.0955  0.9045  0.7500  2 Ag 2.68, 2 Tb 2.97
Se  0.3544  0.6456  0.5544  1 Ag 2.61, 2 Tb 2.92
Se  0.3544  0.6456  0.9456  1 Ag 2.61, 2 Tb 2.92
Se  0.6456  0.3544  0.0544  1 Ag 2.61, 2 Tb 2.92
Se  0.6456  0.3544  0.4456  1 Ag 2.61, 2 Tb 2.92
Se  0.9045  0.0955  0.2500  2 Ag 2.68, 2 Tb 2.97

Output
Size of the total moment: 0.01 μB/cell

***

Most stable to least stable, the ends of the list are #ii and #i.